SrNiBr2 | GGA-PBE | relaxed

Values from the calculation:
Relative energy among the computed polymorphs in meV/atom: 306
Volume in Å³/atom: 24.38
Space-group type: No. 166
Size of the total moment in μB/f.u.: 0.1
E in eV per atom: -3.393

a b c (Å): 6.1797 6.1797 6.1797
angles (deg): 42.50 42.50 42.50
Atoms (fractional coordinates):
Sr  0.0000  0.0000  0.0000
Ni  0.5000  0.5000  0.5000
Br  0.2336  0.2336  0.2336
Br  0.7664  0.7664  0.7664

CrAsIN2 | GGA-PBE | relaxed

Values from the calculation:
Relative energy among the computed polymorphs in meV/atom: 327
Volume in Å³/atom: 20.61
Space-group type: No. 123
Size of the total moment in μB/f.u.: 5.1
E in eV per atom: -5.141

a b c (Å): 3.8262 3.8262 7.0382
angles (deg): 90.00 90.00 90.00
Atoms (fractional coordinates):
Cr  0.0000  0.0000  0.0000
As  0.5000  0.5000  0.5000
I  0.5000  0.5000  0.0000
N  0.0000  0.5000  0.5000
N  0.5000  0.0000  0.5000

Question: Look up the volume of the second one.
Answer: 20.61 Å³/atom